The following is a DFT calculation (PBEsol) of a relaxed ZrScSn2 crystal.

```
4
Lattice="0.0000 3.5303 3.5303 3.5303 0.0000 3.5303 3.5303 3.5303 0.0000" Properties=species:S:1:pos:R:3 pbc="T T T"
Zr 0.0000 0.0000 0.0000
Sc 3.5303 3.5303 3.5303
Sn 1.7651 1.7651 1.7651
Sn 5.2954 5.2954 5.2954
```

Mass density = 7.05 g/cm3
M_tot = 0.80 μB/cell
Calculated volume = 22.00 Å³ per atom
Calculated formation energy = -1.54 eV/f.u.

***

The following is a DFT calculation (PBEsol) of a relaxed Er6FeSb2 crystal.

```
9
Lattice="8.0046 0.0000 0.0000 -4.0023 6.9322 0.0000 0.0000 0.0000 4.0209" Properties=species:S:1:pos:R:3 pbc="T T T"
Er -0.9338 1.6175 0.0000
Er -2.4204 4.1923 2.0105
Er 1.8677 0.0000 0.0000
Er 1.5819 2.7399 2.0105
Er 4.8408 0.0000 2.0105
Er 3.0685 5.3147 0.0000
Fe 0.0000 0.0000 2.0105
Sb 0.0000 4.6215 0.0000
Sb 4.0023 2.3107 0.0000
```

Formation energy (no corrections) = -582 meV/atom
Mass density = 9.70 g/cm3
M_tot = 0.20 μB/cell
Calculated volume = 24.79 Å³ per atom

***

The following is a DFT calculation (PBEsol) of a relaxed Ag2HgIr crystal.

```
4
Lattice="1.4172 0.8182 9.5635 -1.4172 0.8182 9.5635 0.0000 -1.6364 9.5635" Properties=species:S:1:pos:R:3 pbc="T T T"
Ag 0.0000 0.0000 7.0598
Ag 0.0000 0.0000 21.6308
Hg 0.0000 0.0000 0.0000
Ir 0.0000 0.0000 14.3453
```

Mass density = 15.19 g/cm3
M_tot = 0.00 μB/cell
Calculated volume = 16.63 Å³ per atom
Calculated formation energy = 1.06 eV/f.u.